(1)
Here is a relaxed structure of PtRh2Se from the Alexandria database. Energies are from PBE.

formation energy without anion corrections	0.43	eV/atom
M_tot	0.00	μB per atom
mass density	9.24	g cm⁻³

abc: 5.2671 5.2671 12.4396
angles: 90.00 90.00 90.00
Closest atoms and distances in Å follow each position.
Space group I-42d (No. 122)
Unique sites:
Pt 0.0000 0.0000 0.0000 (multiplicity 4)  4 Rh 2.51
Rh 0.2231 0.2500 0.6250 (multiplicity 8)  2 Se 2.35, 2 Pt 2.51
Se 0.0000 0.0000 0.5000 (multiplicity 4)  4 Rh 2.35

(2)
Here is a relaxed structure of PtRh2Se from the Alexandria database. Energies are from PBE.

formation energy without anion corrections	0.06	eV/atom
M_tot	0.00	μB per atom
mass density	13.07	g cm⁻³

abc: 2.9527 2.9527 6.9923
angles: 90.00 90.00 90.00
Closest atoms and distances in Å follow each position.
Space group P4/mmm (No. 123)
Unique sites:
Pt 0.0000 0.0000 0.0000 (multiplicity 1)  8 Rh 2.80, 4 Pt 2.95
Rh 0.5000 0.5000 0.2676 (multiplicity 2)  4 Se 2.65, 4 Pt 2.80, 4 Rh 2.95
Se 0.0000 0.0000 0.5000 (multiplicity 1)  8 Rh 2.65, 4 Se 2.95

(3)
Here is a relaxed structure of PtRhSe2 from the Alexandria database. Energies are from PBE.

formation energy without anion corrections	-0.22	eV/atom
M_tot	0.00	μB per atom
mass density	9.29	g cm⁻³

abc: 3.7292 3.7292 20.2892
angles: 90.00 90.00 120.00
Closest atoms and distances in Å follow each position.
Space group R3m (No. 160, hexagonal axes)
Unique sites:
Pt 0.0000 0.0000 0.0000 (multiplicity 3)  3 Se 2.43
Rh 0.0000 0.0000 0.2461 (multiplicity 3)  3 Se 2.40
Se 0.0000 0.0000 0.5277 (multiplicity 3)  3 Rh 2.40
Se 0.0000 0.0000 0.7223 (multiplicity 3)  3 Pt 2.43

(4)
Here is a relaxed structure of PtRhSe4 from the Alexandria database. Energies are from PBE.

formation energy without anion corrections	1.06	eV/atom
M_tot	0.22	μB per atom
mass density	8.73	g cm⁻³

abc: 7.7577 7.7577 7.7577
angles: 90.00 90.00 90.00
Closest atoms and distances in Å follow each position.
Space group F-43m (No. 216)
Unique sites:
Pt 0.0000 0.0000 0.0000 (multiplicity 4)  12 Se 3.21, 4 Rh 3.36
Rh 0.2500 0.2500 0.7500 (multiplicity 4)  12 Se 3.22, 4 Pt 3.36
Se 0.1260 0.1260 0.3740 (multiplicity 16)  6 Se 2.72-2.76

(5)
Here is a relaxed structure of PtRh2Se from the Alexandria database. Energies are from PBE.

formation energy without anion corrections	0.11	eV/atom
M_tot	0.00	μB per atom
mass density	12.71	g cm⁻³

abc: 3.1245 4.0356 5.1942
angles: 90.00 106.81 90.00
Closest atoms and distances in Å follow each position.
Space group P2/m (No. 10)
Unique sites:
Pt 0.0000 0.0000 0.0000 (multiplicity 1)  2 Se 2.62, 8 Rh 2.84-2.93
Rh 0.3446 0.5000 0.7291 (multiplicity 2)  2 Se 2.46, 2 Rh 2.70-2.71
Se 0.5000 0.0000 0.5000 (multiplicity 1)  4 Rh 2.46, 2 Pt 2.62

(6)
Here is a relaxed structure of Pt2RhSe from the Alexandria database. Energies are from PBE.

formation energy without anion corrections	0.10	eV/atom
M_tot	0.00	μB per atom
mass density	14.17	g cm⁻³

abc: 3.7964 4.6417 3.8075
angles: 90.00 92.08 90.00
Closest atoms and distances in Å follow each position.
Space group P2/m (No. 10)
Unique sites:
Pt 0.2421 0.0000 0.2578 (multiplicity 2)  4 Pt 2.64-2.82, 2 Rh 2.67, 2 Se 2.72
Rh 0.0000 0.5000 0.5000 (multiplicity 1)  4 Se 2.64-2.74, 4 Pt 2.67
Se 0.5000 0.5000 0.0000 (multiplicity 1)  4 Rh 2.64-2.74, 4 Pt 2.72

> Which formula does entry 1 have?

PtRh2Se

> Look up the M_tot of the sixth one.

0.00 μB per atom

What did the first record say?
Here is a relaxed structure of PtRh2Se from the Alexandria database. Energies are from PBE.

formation energy without anion corrections	0.43	eV/atom
M_tot	0.00	μB per atom
mass density	9.24	g cm⁻³

abc: 5.2671 5.2671 12.4396
angles: 90.00 90.00 90.00
Closest atoms and distances in Å follow each position.
Space group I-42d (No. 122)
Unique sites:
Pt 0.0000 0.0000 0.0000 (multiplicity 4)  4 Rh 2.51
Rh 0.2231 0.2500 0.6250 (multiplicity 8)  2 Se 2.35, 2 Pt 2.51
Se 0.0000 0.0000 0.5000 (multiplicity 4)  4 Rh 2.35

Copy entry 5 word for word.
Here is a relaxed structure of PtRh2Se from the Alexandria database. Energies are from PBE.

formation energy without anion corrections	0.11	eV/atom
M_tot	0.00	μB per atom
mass density	12.71	g cm⁻³

abc: 3.1245 4.0356 5.1942
angles: 90.00 106.81 90.00
Closest atoms and distances in Å follow each position.
Space group P2/m (No. 10)
Unique sites:
Pt 0.0000 0.0000 0.0000 (multiplicity 1)  2 Se 2.62, 8 Rh 2.84-2.93
Rh 0.3446 0.5000 0.7291 (multiplicity 2)  2 Se 2.46, 2 Rh 2.70-2.71
Se 0.5000 0.0000 0.5000 (multiplicity 1)  4 Rh 2.46, 2 Pt 2.62